Record 1
This record from Alexandria describes crystalline Cr2PtC at its relaxed geometry. The functional is PBE.

Cell lengths 5.033, 5.033, 5.033 Å; angles 102.64, 102.64, 124.23 degrees
Sites, in units of the cell vectors:
1 Cr 0.033 0.625 0.908
2 Cr 0.375 0.283 0.408
3 Cr 0.717 0.125 0.092
4 Cr 0.875 0.967 0.592
5 Pt 0.250 0.750 0.500
6 Pt 0.500 0.500 0.000
7 C 0.000 0.000 0.000
8 C 0.750 0.250 0.500

Calculated values
DFT total energy	-8.342	eV/atom
SG	No. 122
volume	11.6	Å³/atom

Record 2
This record from Alexandria describes crystalline CrPt2C at its relaxed geometry. The functional is PBE.

Cell lengths 5.534, 5.534, 5.534 Å; angles 98.12, 98.12, 135.84 degrees
Sites, in units of the cell vectors:
1 Cr 0.000 0.000 0.000
2 Cr 0.750 0.250 0.500
3 Pt 0.249 0.625 0.124
4 Pt 0.375 0.499 0.624
5 Pt 0.501 0.125 0.876
6 Pt 0.875 0.751 0.376
7 C 0.250 0.750 0.500
8 C 0.500 0.500 0.000

Calculated values
DFT total energy	-7.125	eV/atom
SG	No. 122
volume	13.7	Å³/atom

Record 3
This record from Alexandria describes crystalline Cr2RePtC at its relaxed geometry. The functional is PBE.

Cell lengths 3.929, 3.929, 4.005 Å; angles 90.00, 90.00, 90.00 degrees
Sites, in units of the cell vectors:
1 Cr 0.000 0.500 0.000
2 Cr 0.500 0.000 0.000
3 Re 0.000 0.000 0.500
4 Pt 0.500 0.500 0.500
5 C 0.000 0.000 0.000

Calculated values
DFT total energy	-9.382	eV/atom
SG	No. 123
volume	12.4	Å³/atom

Record 4
This record from Alexandria describes crystalline Cr2RuPtC at its relaxed geometry. The functional is PBE.

Cell lengths 3.925, 3.925, 3.968 Å; angles 90.00, 90.00, 90.00 degrees
Sites, in units of the cell vectors:
1 Cr 0.000 0.500 0.000
2 Cr 0.500 0.000 0.000
3 Ru 0.000 0.000 0.500
4 Pt 0.500 0.500 0.500
5 C 0.000 0.000 0.000

Calculated values
DFT total energy	-8.737	eV/atom
SG	No. 123
volume	12.2	Å³/atom

> What is the volume in the second record?

13.7 Å³/atom